Compound: Rb2NaHg6Au
Source: Alexandria
Functional: GGA-PBE
Structure: optimized geometry

- VASP energy: -0.9815 eV per atom
- Space group: Fm-3m (225)
- Total magnetic moment: 0.00 μB per cell
- Formation energy from the elements: -0.147 eV/atom

Lattice parameters (Å, degrees): 8.1632 8.1632 8.1632 60.00 60.00 90.00
Fractional coordinates of all 10 atoms:
Na (0.5000, 0.5000, 0.0000)
Rb (0.7500, 0.2500, 0.5000)
Hg (0.7542, 0.2458, 0.0000)
Rb (0.2500, 0.7500, 0.5000)
Au (0.0000, 0.0000, 0.0000)
Hg (0.7542, 0.7542, 0.0000)
Hg (0.2458, 0.2458, 0.5084)
Hg (0.2458, 0.2458, 0.0000)
Hg (0.7542, 0.7542, 0.4916)
Hg (0.2458, 0.7542, 0.0000)

Compound: Rb2NaHgAu2
Source: Alexandria
Functional: GGA-PBE
Structure: optimized geometry

- VASP energy: -1.9569 eV per atom
- Space group: Ibam (72)
- Total magnetic moment: 0.00 μB per cell
- Formation energy from the elements: -0.272 eV/atom

Lattice parameters (Å, degrees): 6.9407 7.2498 9.5657 112.27 111.27 90.00
Fractional coordinates of all 12 atoms:
Na (0.5000, 0.2500, 0.0000)
Hg (0.0000, 0.7500, 0.0000)
Au (0.8511, 0.1042, 0.2085)
Rb (0.5900, 0.8285, 0.6571)
Au (0.1489, 0.8958, 0.7915)
Au (0.6427, 0.3958, 0.7915)
Au (0.3573, 0.6042, 0.2085)
Hg (0.0000, 0.2500, 0.0000)
Na (0.5000, 0.7500, 0.0000)
Rb (0.9329, 0.6715, 0.3429)
Rb (0.4100, 0.1715, 0.3429)
Rb (0.0671, 0.3285, 0.6571)

Compound: RbNaHgAu
Source: Alexandria
Functional: GGA-PBE
Structure: optimized geometry

- VASP energy: -1.7073 eV per atom
- Space group: P1 (1)
- Distance to the lowest polymorph of the same formula: 0.0 meV/atom
- Total magnetic moment: 0.00 μB per cell
- Formation energy from the elements: -0.241 eV/atom

Lattice parameters (Å, degrees): 5.0533 5.0047 6.9563 111.28 90.39 119.64
Fractional coordinates of all 4 atoms:
Na (0.8201, 0.6375, 0.0960)
Hg (0.0875, 0.1758, 0.9054)
Au (0.4345, 0.8642, 0.9364)
Rb (0.6242, 0.2551, 0.5296)

Compound: Rb2NaHg4Au3
Source: Alexandria
Functional: GGA-PBE
Structure: optimized geometry

- VASP energy: -1.6436 eV per atom
- Space group: P-4m2 (115)
- Total magnetic moment: 0.00 μB per cell
- Formation energy from the elements: -0.214 eV/atom

Lattice parameters (Å, degrees): 4.8557 4.8557 12.5355 90.00 90.00 90.00
Fractional coordinates of all 10 atoms:
Rb (0.5000, 0.0000, 0.2340)
Hg (0.0000, 0.5000, 0.3591)
Au (0.0000, 0.0000, 0.5000)
Au (0.5000, 0.0000, 0.8677)
Na (0.5000, 0.5000, 0.5000)
Hg (0.5000, 0.5000, 0.0000)
Hg (0.0000, 0.0000, 0.0000)
Rb (0.0000, 0.5000, 0.7660)
Au (0.0000, 0.5000, 0.1323)
Hg (0.5000, 0.0000, 0.6409)

Compound: Rb4Na2Hg2Au
Source: Alexandria
Functional: GGA-PBE
Structure: optimized geometry

- VASP energy: -1.3003 eV per atom
- Space group: P-1 (2)
- Total magnetic moment: 0.00 μB per cell
- Formation energy from the elements: -0.146 eV/atom

Lattice parameters (Å, degrees): 6.8391 8.2656 9.1518 123.36 105.00 84.18
Fractional coordinates of all 9 atoms:
Hg (0.9206, 0.3936, 0.0913)
Hg (0.0794, 0.6064, 0.9087)
Rb (0.2327, 0.3165, 0.4520)
Au (0.0000, 0.0000, 0.0000)
Na (0.8169, 0.2096, 0.6633)
Rb (0.7673, 0.6835, 0.5480)
Rb (0.3854, 0.1963, 0.9248)
Rb (0.6146, 0.8037, 0.0752)
Na (0.1831, 0.7904, 0.3367)

Compound: Rb2NaHg3Au4
Source: Alexandria
Functional: GGA-PBE
Structure: optimized geometry

- VASP energy: -1.9435 eV per atom
- Space group: P-4m2 (115)
- Total magnetic moment: 0.00 μB per cell
- Formation energy from the elements: -0.217 eV/atom

Lattice parameters (Å, degrees): 4.9229 4.9229 11.9102 90.00 90.00 90.00
Fractional coordinates of all 10 atoms:
Na (0.5000, 0.5000, 0.5000)
Rb (0.5000, 0.0000, 0.2345)
Au (0.0000, 0.0000, 0.0000)
Au (0.5000, 0.0000, 0.6378)
Rb (0.0000, 0.5000, 0.7655)
Hg (0.5000, 0.0000, 0.8750)
Au (0.0000, 0.5000, 0.3622)
Hg (0.0000, 0.5000, 0.1250)
Hg (0.0000, 0.0000, 0.5000)
Au (0.5000, 0.5000, 0.0000)